Compound: Mn6Se3O2
Source: the Alexandria database
Functional: PBE with a Hubbard U
Structure: optimized geometry

```
Mn6Se3O2
1.0
-0.184 2.447 3.386
-4.174 0.019 -0.240
1.758 -10.410 5.037
Mn Se O
6 3 2
Direct
0.085 0.585 0.170
0.585 0.085 0.170
0.915 0.415 0.830
0.415 0.915 0.830
0.699 0.698 0.397
0.301 0.302 0.603
0.000 0.000 0.000
0.816 0.816 0.631
0.184 0.184 0.369
0.398 0.398 0.796
0.602 0.602 0.204
```

Summary:
crystal system	tetragonal
SG	I4/mmm (139)
N(E_F)	5.1	states/eV per cell
raw total energy	-72.3	eV/cell